First-principles (PBE+U) data for RbFe2NiF8 after structural relaxation, as listed in Alexandria.

Output
DOS(E_F) (states/eV/atom): 0.17
VASP energy (eV per atom): -4.81

Unit cell a=5.034 b=5.097 c=6.659 alpha=89.92 beta=89.91 gamma=86.46
Fractional coordinates of all 12 atoms:
1 Rb 0.000 0.000 0.000
2 Fe 0.500 0.500 0.264
3 Fe 0.500 0.500 0.736
4 Ni 0.000 0.000 0.500
5 F 0.241 0.797 0.696
6 F 0.242 0.797 0.304
7 F 0.283 0.315 0.500
8 F 0.311 0.381 0.001
9 F 0.689 0.619 0.999
10 F 0.717 0.685 0.500
11 F 0.758 0.203 0.696
12 F 0.759 0.203 0.304